(1)
First-principles (GGA-PBE) data for a geometry-optimized Zr4Cr structure, as listed in Alexandria via LeMat-Bulk.

Cell and atoms, written as POSCAR:
```
Zr4Cr
1.0
0.000 4.877 4.877
4.877 0.000 4.877
4.877 4.877 0.000
Zr Cr
8 2
direct
0.203 0.766 0.766 Zr
0.234 0.234 0.234 Zr
0.234 0.234 0.797 Zr
0.234 0.797 0.234 Zr
0.766 0.203 0.766 Zr
0.766 0.766 0.203 Zr
0.766 0.766 0.766 Zr
0.797 0.234 0.234 Zr
0.375 0.375 0.375 Cr
0.625 0.625 0.625 Cr
```

Calculated values
- Crystal system: cubic
- SG: Fd-3m

(2)
First-principles (GGA-PBE) data for a geometry-optimized ZrCr2 structure, as listed in Alexandria via LeMat-Bulk.

Cell and atoms, written as POSCAR:
```
ZrCr2
1.0
10.080 0.000 0.000
0.000 2.993 0.000
-2.011 0.000 6.131
Zr Cr
4 8
direct
0.149 0.000 0.085 Zr
0.351 0.500 0.915 Zr
0.649 0.500 0.085 Zr
0.851 0.000 0.915 Zr
0.002 0.500 0.659 Cr
0.188 0.000 0.581 Cr
0.312 0.500 0.419 Cr
0.498 0.000 0.341 Cr
0.502 0.000 0.659 Cr
0.688 0.500 0.581 Cr
0.812 0.000 0.419 Cr
0.998 0.500 0.341 Cr
```

Calculated values
- Crystal system: monoclinic
- SG: C2/m

(3)
First-principles (GGA-PBE) data for a geometry-optimized ZrCr5 structure, as listed in Alexandria via LeMat-Bulk.

Cell and atoms, written as POSCAR:
```
ZrCr5
1.0
9.425 0.000 0.000
0.000 2.957 0.000
-1.938 0.000 5.704
Zr Cr
2 10
direct
0.000 0.000 0.000 Zr
0.500 0.500 0.000 Zr
0.000 0.000 0.500 Cr
0.170 0.500 0.816 Cr
0.178 0.500 0.352 Cr
0.322 0.000 0.648 Cr
0.330 0.000 0.184 Cr
0.500 0.500 0.500 Cr
0.670 0.000 0.816 Cr
0.678 0.000 0.352 Cr
0.822 0.500 0.648 Cr
0.830 0.500 0.184 Cr
```

Calculated values
- Crystal system: monoclinic
- SG: C2/m

(4)
First-principles (GGA-PBE) data for a geometry-optimized Zr3Cr4 structure, as listed in Alexandria via LeMat-Bulk.

Cell and atoms, written as POSCAR:
```
Zr3Cr4
1.0
2.991 0.000 0.000
0.000 2.991 0.000
0.000 0.000 25.923
Zr Cr
6 8
direct
0.000 0.000 0.000 Zr
0.000 0.000 0.306 Zr
0.000 0.000 0.694 Zr
0.500 0.500 0.194 Zr
0.500 0.500 0.500 Zr
0.500 0.500 0.806 Zr
0.000 0.000 0.120 Cr
0.000 0.000 0.427 Cr
0.000 0.000 0.573 Cr
0.000 0.000 0.880 Cr
0.500 0.500 0.073 Cr
0.500 0.500 0.380 Cr
0.500 0.500 0.620 Cr
0.500 0.500 0.927 Cr
```

Calculated values
- Crystal system: tetragonal
- SG: I4/mmm

(5)
First-principles (GGA-PBE) data for a geometry-optimized ZrCr2 structure, as listed in Alexandria via LeMat-Bulk.

Cell and atoms, written as POSCAR:
```
ZrCr2
1.0
5.062 0.000 0.000
-2.531 4.384 0.000
0.000 0.000 16.418
Zr Cr
8 16
direct
0.000 0.000 0.094 Zr
0.000 0.000 0.406 Zr
0.000 0.000 0.594 Zr
0.000 0.000 0.906 Zr
0.333 0.667 0.156 Zr
0.333 0.667 0.344 Zr
0.667 0.333 0.656 Zr
0.667 0.333 0.844 Zr
0.000 0.500 0.000 Cr
0.000 0.500 0.500 Cr
0.166 0.331 0.750 Cr
0.166 0.834 0.750 Cr
0.331 0.166 0.250 Cr
0.333 0.667 0.623 Cr
0.333 0.667 0.877 Cr
0.500 0.000 0.000 Cr
0.500 0.000 0.500 Cr
0.500 0.500 0.000 Cr
0.500 0.500 0.500 Cr
0.667 0.333 0.123 Cr
0.667 0.333 0.377 Cr
0.669 0.834 0.750 Cr
0.834 0.166 0.250 Cr
0.834 0.669 0.250 Cr
```

Calculated values
- Crystal system: hexagonal
- SG: P6_3/mmc

(6)
First-principles (GGA-PBE) data for a geometry-optimized Zr4Cr structure, as listed in Alexandria via LeMat-Bulk.

Cell and atoms, written as POSCAR:
```
Zr4Cr
1.0
4.052 0.000 0.000
0.000 4.052 0.000
0.000 0.000 14.451
Zr Cr
8 2
direct
0.000 0.000 0.090 Zr
0.000 0.000 0.910 Zr
0.000 0.500 0.250 Zr
0.000 0.500 0.750 Zr
0.500 0.000 0.250 Zr
0.500 0.000 0.750 Zr
0.500 0.500 0.410 Zr
0.500 0.500 0.590 Zr
0.000 0.000 0.500 Cr
0.500 0.500 0.000 Cr
```

Calculated values
- Crystal system: tetragonal
- SG: I4/mmm

The records above give, respectively, total energy values of -7.94; -9.01; -9.26; -9.02; -9.31; -8.02 eV/atom.
The records above give, respectively, energy of formation values of 0.826; 0.254; 0.187; 0.145; -0.048; 0.748 eV/atom.